# LiAgSnS3

Crystalline LiAgSnS3 at its relaxed geometry (PBE, the Open Quantum Materials Database).

Computed properties:
**Density**: 4.31 g cm⁻³
**Energy relative to the lowest polymorph listed for this composition**: 78.7 meV per atom

Cell lengths 16.5070, 3.6778, 8.8380 Å; angles 90.00, 108.83, 90.00 degrees
With the nearest neighbours (Å) after each atom.
Space group C2/m (No. 12)
Unique sites:
Li 0.0983 0.0000 0.1055  2 S 2.43
Ag 0.0218 0.5000 0.7317  4 S 2.51-2.70
Sn 0.1760 0.0000 0.5934  6 S 2.53-2.75
S 0.0000 0.0000 0.5000  4 Ag 2.69, 2 Sn 2.75
S 0.0000 0.5000 0.0000  4 Li 2.43, 2 Ag 2.51
S 0.1619 0.5000 0.3684  3 Sn 2.59-2.66, 1 Ag 2.87, 2 Li 2.88
S 0.1933 0.5000 0.7981  2 Sn 2.53, 1 Ag 2.70